[1]
Material: CaTb2Cd3
Method: DFT, PBE
State: relaxed

As for the crystal system: tetragonal. Its symmetry is P4/mmm. As for the formation energy: -197 kJ/mol of formula units.

Cell and atoms, written as POSCAR:
```
CaTb2Cd3
1.0
3.7640 0.0000 0.0000
0.0000 3.7640 0.0000
0.0000 0.0000 11.4730
Ca Tb Cd
1 2 3
direct
0.0000 0.0000 0.0000
0.0000 0.0000 0.3374
0.0000 0.0000 0.6626
0.5000 0.5000 0.1758
0.5000 0.5000 0.5000
0.5000 0.5000 0.8242
```


[2]
Material: CaTb2Cd
Method: DFT, PBE
State: relaxed

As for the crystal system: tetragonal. Its symmetry is P4/mmm. Its relative energy among the computed polymorphs is 0.0 meV/atom. As for the formation energy: -27 kJ/mol of formula units.

Cell and atoms, written as POSCAR:
```
CaTb2Cd
1.0
3.7654 0.0000 0.0000
0.0000 3.7654 0.0000
0.0000 0.0000 9.0266
Ca Tb Cd
1 2 1
direct
0.0000 0.0000 0.0000
0.5000 0.5000 0.2999
0.5000 0.5000 0.7001
0.0000 0.0000 0.5000
```


Number 1: N(E_F) 4.810 states/eV/f.u., E_tot -16.05 eV/f.u.. Number 2: N(E_F) 5.968 states/eV/f.u., E_tot -12.46 eV/f.u..